A relaxed structure of NbNiN. Source: Alexandria via LeMat-Bulk, functional PBE.

Structure (extended XYZ):
```
3
Lattice="3.049 0.000 0.000 0.000 3.049 0.000 0.000 0.000 3.775" Properties=species:S:1:pos:R:3 pbc="T T T"
Nb 0.000 0.000 0.000
Ni 1.525 1.525 1.887
N 1.525 1.525 0.000
```

Its density of states at the Fermi level is 1.90 states/eV per cell. The value obtained for the uncorrected formation energy is -606.7 meV/atom. The magnetization is 0.0 μB per cell. Its symmetry is P4/mmm.